Here is crystalline TlTeIr2 at its relaxed geometry from the Alexandria database. Energies are from PBE.

Cell: 3.274 4.928 4.873 Å, 90.00 90.00 90.00°
Fractional positions:
Tl1 0.000 0.000 0.000
Te1 0.500 0.500 0.292
Ir1 0.000 0.500 0.709
Ir2 0.500 0.000 0.515

## Properties
energy above the lowest structure with this stoichiometry: 0.33 eV/f.u.
space-group type: Pmm2
total moment: 0.00 μB per formula unit